Record 1
VASP calculation (PBE) on an optimized crystal structure of CsNaSmI5.

Summary:
- crystal system = monoclinic
- formation energy without anion corrections (eV per atom) = -1.394

Cell: 10.2785 14.7424 11.9060 Å, 90.00 110.85 90.00°
Space group C2/c (No. 15)
Unique sites:
1 Cs 0.0000 0.1609 0.2500
2 Na 0.0000 0.1869 0.7500
3 Sm 0.0000 0.5000 0.0000
4 I 0.0000 0.4341 0.2500
5 I 0.0977 0.3049 0.5835
6 I 0.1928 0.0549 0.9393



Record 2
VASP calculation (PBE) on an optimized crystal structure of Ca2Hg2Te.

Summary:
- energy above the lowest structure with this stoichiometry (eV/f.u.) = 0.084
- crystal system = tetragonal
- formation energy without anion corrections (eV per atom) = -0.631

Cell: 8.2596 8.2596 4.2363 Å, 90.00 90.00 90.00°
Space group P4/mbm (No. 127)
Unique sites:
1 Ca 0.1731 0.3269 0.0000
2 Hg 0.1260 0.6260 0.5000
3 Te 0.0000 0.0000 0.5000



Record 3
VASP calculation (PBE) on an optimized crystal structure of NaPt2.

Summary:
- energy of formation (eV/f.u.) = 0.58
- energy above the lowest structure with this stoichiometry (eV/f.u.) = 1.744
- crystal system = hexagonal

Cell: 4.5374 4.5374 5.5081 Å, 90.00 90.00 120.00°
Space group P6_3/mmc (No. 194)
Unique sites:
1 Na 0.3333 0.6667 0.2500
2 Pt 0.0000 0.0000 0.0000
3 Pt 0.3333 0.6667 0.7500



Record 4
VASP calculation (PBE) on an optimized crystal structure of NdHo2MgRh4.

Summary:
- energy of formation (eV/f.u.) = -5.97
- crystal system = trigonal

Cell: 4.7651 4.7651 23.5799 Å, 90.00 90.00 120.00°
Space group R-3m (No. 166, hexagonal axes)
Unique sites:
1 Nd 0.0000 0.0000 0.0000
2 Ho 0.0000 0.0000 0.2430
3 Mg 0.0000 0.0000 0.5000
4 Rh 0.0000 0.0000 0.1259
5 Rh 0.0000 0.0000 0.3789



Record 5
VASP calculation (PBE) on an optimized crystal structure of Tm2ZnSi3.

Summary:
- crystal system = orthorhombic
- formation energy without anion corrections (eV per atom) = -0.590

Cell: 3.9867 4.0387 13.8732 Å, 90.00 90.00 90.00°
Space group Imm2 (No. 44)
Unique sites:
1 Tm 0.0000 0.0000 0.0000
2 Tm 0.0000 0.5000 0.2609
3 Zn 0.0000 0.0000 0.5916
4 Si 0.0000 0.0000 0.4247
5 Si 0.0000 0.5000 0.6733
6 Si 0.0000 0.5000 0.8388



Record 6
VASP calculation (PBE) on an optimized crystal structure of Zn2MoOs.

Summary:
- energy of formation (eV/f.u.) = 0.90
- energy above the lowest structure with this stoichiometry (eV/f.u.) = 0.707
- crystal system = orthorhombic

Cell: 3.0377 4.3856 8.8877 Å, 90.00 90.00 90.00°
Space group Immm (No. 71)
Unique sites:
1 Zn 0.0000 0.0000 0.2446
2 Mo 0.0000 0.5000 0.0000
3 Os 0.0000 0.5000 0.5000



Record 7
VASP calculation (PBE) on an optimized crystal structure of Ce2Pd5.

Summary:
- energy of formation (eV/f.u.) = -4.89
- crystal system = orthorhombic

Cell: 7.2694 12.8109 5.8037 Å, 90.00 90.00 90.00°
Space group Cccm (No. 66)
Unique sites:
1 Ce 0.1967 0.1044 0.0000
2 Pd 0.0000 0.2685 0.2500
3 Pd 0.0000 0.5000 0.2500
4 Pd 0.2271 0.1254 0.5000



Record 8
VASP calculation (PBE) on an optimized crystal structure of CuReSn2.

Summary:
- energy of formation (eV/f.u.) = 3.13
- energy above the lowest structure with this stoichiometry (eV/f.u.) = 0.883
- crystal system = trigonal

Cell: 2.9717 2.9717 30.5025 Å, 90.00 90.00 120.00°
Space group R-3m (No. 166, hexagonal axes)
Unique sites:
1 Cu 0.0000 0.0000 0.0000
2 Re 0.0000 0.0000 0.5000
3 Sn 0.0000 0.0000 0.4081



Record 9
VASP calculation (PBE) on an optimized crystal structure of HfNb2ZnPd.

Summary:
- energy of formation (eV/f.u.) = 4.06
- crystal system = tetragonal

Cell: 4.7346 4.7346 4.5496 Å, 90.00 90.00 90.00°
Space group P4/mmm (No. 123)
Unique sites:
1 Hf 0.0000 0.0000 0.0000
2 Nb 0.0000 0.5000 0.5000
3 Zn 0.5000 0.5000 0.5000
4 Pd 0.5000 0.5000 0.0000



Record 10
VASP calculation (PBE) on an optimized crystal structure of Ce2ErSn3.

Summary:
- energy of formation (eV/f.u.) = -3.50
- energy above the lowest structure with this stoichiometry (eV/f.u.) = 0.000
- crystal system = orthorhombic

Cell: 5.7940 17.2761 3.2691 Å, 90.00 90.00 90.00°
Space group Cmmm (No. 65)
Unique sites:
1 Ce 0.0000 0.1661 0.0000
2 Er 0.0000 0.5000 0.0000
3 Sn 0.0000 0.0000 0.5000
4 Sn 0.0000 0.3364 0.5000



Record 11
VASP calculation (PBE) on an optimized crystal structure of TbPmSiIr.

Summary:
- energy above the lowest structure with this stoichiometry (eV/f.u.) = 0.000
- crystal system = orthorhombic
- formation energy without anion corrections (eV per atom) = -0.815

Cell: 4.0290 4.2394 10.7313 Å, 90.00 90.00 90.00°
Space group Amm2 (No. 38)
Unique sites:
1 Tb 0.0000 0.0000 0.0000
2 Pm 0.5000 0.0000 0.7173
3 Si 0.0000 0.0000 0.2988
4 Ir 0.5000 0.0000 0.4367



Record 12
VASP calculation (PBE) on an optimized crystal structure of Li6Cd3Cu.

Summary:
- energy of formation (eV/f.u.) = -1.46
- crystal system = monoclinic

Cell: 7.8514 4.7512 9.9312 Å, 90.00 107.49 90.00°
Space group P2_1/m (No. 11)
Unique sites:
1 Li 0.0016 0.2500 0.1725
2 Li 0.1818 0.2500 0.9651
3 Li 0.1821 0.7500 0.6210
4 Li 0.1862 0.2500 0.4582
5 Li 0.3952 0.7500 0.4317
6 Li 0.3963 0.7500 0.9458
7 Cd 0.1928 0.7500 0.1423
8 Cd 0.3630 0.2500 0.7595
9 Cd 0.4185 0.2500 0.2672
10 Cu 0.0007 0.2500 0.6651



Number 1: total DFT energy (no corrections) -3.224 eV/atom, total moment 0.00 Bohr magnetons per cell. Number 2: total DFT energy (no corrections) -2.180 eV/atom, total moment 0.00 Bohr magnetons per cell. Number 3: total DFT energy (no corrections) -4.272 eV/atom, total moment 0.00 Bohr magnetons per cell. Number 4: total DFT energy (no corrections) -6.362 eV/atom, total moment 0.00 Bohr magnetons per cell. Number 5: total DFT energy (no corrections) -5.005 eV/atom, total moment 0.00 Bohr magnetons per cell. Number 6: total DFT energy (no corrections) -5.928 eV/atom, total moment 0.00 Bohr magnetons per cell. Number 7: total DFT energy (no corrections) -6.103 eV/atom, total moment 4.20 Bohr magnetons per cell. Number 8: total DFT energy (no corrections) -5.356 eV/atom, total moment 0.00 Bohr magnetons per cell. Number 9: total DFT energy (no corrections) -6.499 eV/atom, total moment 0.00 Bohr magnetons per cell. Number 10: total DFT energy (no corrections) -5.324 eV/atom, total moment 4.09 Bohr magnetons per cell. Number 11: total DFT energy (no corrections) -6.731 eV/atom, total moment 0.00 Bohr magnetons per cell. Number 12: total DFT energy (no corrections) -1.978 eV/atom, total moment 0.00 Bohr magnetons per cell.